An optimized crystal structure of PaTl2Sn2S6, computed with PBE.

Lattice parameters (Å, degrees): 7.0845 12.0836 7.8706 90.00 107.64 90.00
Space group C2/m (No. 12)
Asymmetric unit:
Pa1 0.0000 0.0000 0.0000
Tl1 0.0000 0.1695 0.5000
Sn1 0.0000 0.3314 0.0000
S1 0.2230 0.1602 0.1943
S2 0.2425 0.0000 0.8006

Results
Uncorrected formation energy   -0.780 eV per atom

An optimized crystal structure of Ce3CdP, computed with PBE.

Lattice parameters (Å, degrees): 5.3685 5.3685 5.3685 90.00 90.00 90.00
Space group Pm-3m (No. 221)
Asymmetric unit:
Ce1 0.0000 0.0000 0.5000
Cd1 0.5000 0.5000 0.5000
P1 0.0000 0.0000 0.0000

Results
E_form   -0.39 eV/atom

An optimized crystal structure of ReNiBP, computed with PBE.

Lattice parameters (Å, degrees): 8.9501 2.9956 3.4142 90.00 101.98 90.00
Space group Cm (No. 8)
Asymmetric unit:
Re1 0.0000 0.0000 0.0000
Ni1 0.2572 0.5000 0.3851
B1 0.0543 0.5000 0.5431
P1 0.2796 0.0000 0.8874

Results
E_form   -0.03 eV/atom
ΔE to the lowest computed polymorph   145 meV per atom

Here are the calculated M_tot numbers, same order: 0.00 2.44 0.00 (μB per formula unit).
Here are the calculated calculated volume numbers, same order: 321.0 154.7 44.8 (Å³/f.u.).